# 1
VASP calculation (PBE) on P2RuAu after structural relaxation.

a b c (Å): 6.5884 6.5884 6.5884
angles (deg): 154.98 147.68 41.30
Closest atoms and distances in Å follow each position.
Positions (direct):
P (0.0000, 0.0000, 0.0000)  4 Ru 2.44, 2 Au 2.70
P (0.7160, 0.2160, 0.5000)  2 Ru 2.39
Ru (0.5608, 0.5608, 0.0000)  6 P 2.39-2.44
Au (0.3397, 0.8397, 0.5000)  6 P 2.70-2.78, 2 Au 2.85

energy above the most stable polymorph in this dataset: 0.1353 eV/atom
V: 16.13 A^3/atom
DFT formation energy: 0.05 eV per atom

=====

# 2
VASP calculation (PBE) on P2RuAu after structural relaxation.

a b c (Å): 4.4310 4.4310 4.4310
angles (deg): 60.00 60.00 60.00
Closest atoms and distances in Å follow each position.
Positions (direct):
P (0.0000, 0.0000, 0.0000)  4 Au 2.71, 4 P 2.71
P (0.2500, 0.2500, 0.2500)  4 Ru 2.71, 4 P 2.71
Ru (0.5000, 0.5000, 0.5000)  4 Au 2.71, 4 P 2.71
Au (0.7500, 0.7500, 0.7500)  4 Ru 2.71, 4 P 2.71

energy above the most stable polymorph in this dataset: 0.7976 eV/atom
V: 15.38 A^3/atom
DFT formation energy: 0.71 eV per atom

=====

# 3
VASP calculation (PBE) on PRuAu4 after structural relaxation.

a b c (Å): 5.4380 5.4380 5.4380
angles (deg): 60.00 60.00 60.00
Closest atoms and distances in Å follow each position.
Positions (direct):
P (0.0000, 0.0000, 0.0000)  12 Au 3.19, 4 Ru 3.33
Ru (0.7500, 0.7500, 0.7500)  12 Au 3.19, 4 P 3.33
Au (0.3751, 0.3751, 0.3751)  6 Au 2.72
Au (0.3751, 0.3751, 0.8748)  6 Au 2.72
Au (0.3751, 0.8748, 0.3751)  6 Au 2.72
Au (0.8748, 0.3751, 0.3751)  6 Au 2.72

V: 18.95 A^3/atom
DFT formation energy: 0.78 eV per atom